1.
The following is a DFT calculation (GGA-PBE) of an optimized crystal structure of Al3PN. Values from VASP.

Structure (Quantum ESPRESSO input):
```
&SYSTEM
  ibrav = 0, nat = 5, ntyp = 3
/
ATOMIC_SPECIES
P 30.97 P.upf
Al 26.98 Al.upf
N 14.01 N.upf
ATOMIC_POSITIONS angstrom
P 2.0683 2.0683 2.0683
Al 2.0683 0.0000 0.0000
Al 0.0000 2.0683 0.0000
Al 0.0000 0.0000 2.0683
N 0.0000 0.0000 0.0000
CELL_PARAMETERS angstrom
4.1367 0.0000 0.0000
0.0000 4.1367 0.0000
0.0000 0.0000 4.1367
```

## Properties
* E_form (uncorrected): 0.128 eV/atom
* E: -4.865 eV/atom
* calculated volume: 71 Å³/cell
* ΔE to the lowest computed polymorph: 0.0 meV/atom

2.
The following is a DFT calculation (GGA-PBE) of an optimized crystal structure of Ti2Si. Values from VASP.

Structure (Quantum ESPRESSO input):
```
&SYSTEM
  ibrav = 0, nat = 3, ntyp = 2
/
ATOMIC_SPECIES
Ti 47.87 Ti.upf
Si 28.09 Si.upf
ATOMIC_POSITIONS angstrom
Ti 2.1670 1.2511 0.8847
Ti 0.0000 0.0000 0.0000
Si 6.5009 3.7533 2.6540
CELL_PARAMETERS angstrom
4.3339 0.0000 0.0000
2.1670 3.7533 0.0000
2.1670 1.2511 3.5386
```

## Properties
* E_form (uncorrected): 0.288 eV/atom
* E: -6.783 eV/atom
* calculated volume: 58 Å³/cell

3.
The following is a DFT calculation (GGA-PBE) of an optimized crystal structure of LiCu2Ni. Values from VASP.

Structure (Quantum ESPRESSO input):
```
&SYSTEM
  ibrav = 0, nat = 4, ntyp = 3
/
ATOMIC_SPECIES
Ni 58.69 Ni.upf
Cu 63.55 Cu.upf
Li 6.94 Li.upf
ATOMIC_POSITIONS angstrom
Ni -2.2679 0.2605 1.1043
Cu 0.0000 0.0000 0.0000
Cu -0.4172 -1.0540 2.2683
Li -2.4268 -2.2625 1.3032
CELL_PARAMETERS angstrom
-4.2775 -0.9480 0.1391
-0.5761 -3.5769 2.4672
2.1686 3.7315 0.7662
```

## Properties
* E: -3.983 eV/atom
* calculated volume: 46 Å³/cell
* calculated formation energy: -0.01 eV/atom
* ΔE to the lowest computed polymorph: 34.8 meV/atom

4.
The following is a DFT calculation (GGA-PBE) of an optimized crystal structure of DySnIr. Values from VASP.

Structure (Quantum ESPRESSO input):
```
&SYSTEM
  ibrav = 0, nat = 3, ntyp = 3
/
ATOMIC_SPECIES
Dy 162.50 Dy.upf
Ir 192.22 Ir.upf
Sn 118.71 Sn.upf
ATOMIC_POSITIONS angstrom
Dy -2.0975 -0.7386 1.7297
Ir -0.6993 1.6074 2.8583
Sn -2.8046 0.8867 4.6200
CELL_PARAMETERS angstrom
-3.2315 -0.0581 -0.7579
-0.3138 -2.9128 1.5612
0.5632 4.2656 4.5422
```

## Properties
* E: -6.351 eV/atom
* calculated volume: 64 Å³/cell
* calculated formation energy: -0.53 eV/atom

5.
The following is a DFT calculation (GGA-PBE) of an optimized crystal structure of H3PtPb. Values from VASP.

Structure (Quantum ESPRESSO input):
```
&SYSTEM
  ibrav = 0, nat = 10, ntyp = 3
/
ATOMIC_SPECIES
H 1.01 H.upf
Pt 195.08 Pt.upf
Pb 207.20 Pb.upf
ATOMIC_POSITIONS angstrom
H -1.5550 2.6520 1.2492
H -1.4913 4.3977 3.8762
H 0.1914 2.9110 2.5005
H -3.1331 2.3910 3.4227
H -3.0130 -0.7654 3.4770
H -1.3709 1.2397 3.9324
Pt -1.4733 2.9135 3.1009
Pt -3.0308 0.7174 4.2553
Pb -1.4431 0.1143 1.6267
Pb -3.0593 3.5181 5.7275
CELL_PARAMETERS angstrom
-2.3328 4.5134 0.1059
-3.1405 -1.9310 3.6058
2.2550 2.6806 3.6759
```

## Properties
* E: -3.939 eV/atom
* calculated volume: 127 Å³/cell
* ΔE to the lowest computed polymorph: 0.0 meV/atom

6.
The following is a DFT calculation (GGA-PBE) of an optimized crystal structure of MgZnAgF6. Values from VASP.

Structure (Quantum ESPRESSO input):
```
&SYSTEM
  ibrav = 0, nat = 18, ntyp = 4
/
ATOMIC_SPECIES
Mg 24.30 Mg.upf
F 19.00 F.upf
Zn 65.41 Zn.upf
Ag 107.87 Ag.upf
ATOMIC_POSITIONS angstrom
Mg 2.6677 1.5402 7.1221
Mg 0.0000 3.0804 2.3740
F -0.9236 1.6441 1.3045
F 1.7057 2.9987 1.3045
F 4.3734 1.6219 6.0526
F 0.9621 1.6219 8.1916
F -1.7057 2.9987 3.4435
F 0.9236 1.6441 3.4435
F 0.7820 4.5984 3.4435
F -0.7821 4.5984 1.3045
F 1.7441 2.9765 6.0526
F 3.5913 2.9765 8.1916
F 1.8857 0.0222 6.0526
F 3.4498 0.0222 8.1916
Zn 0.0000 3.0804 7.1221
Zn 2.6677 1.5402 2.3740
Ag 0.0000 0.0000 0.0000
Ag 0.0000 0.0000 4.7481
CELL_PARAMETERS angstrom
5.3354 0.0000 0.0000
-2.6677 4.6206 0.0000
0.0000 0.0000 9.4961
```

## Properties
* E_form (uncorrected): -2.282 eV/atom
* E: -4.165 eV/atom
* calculated volume: 234 Å³/cell

7.
The following is a DFT calculation (GGA-PBE) of an optimized crystal structure of Dy8Cu2Hg. Values from VASP.

Structure (Quantum ESPRESSO input):
```
&SYSTEM
  ibrav = 0, nat = 11, ntyp = 3
/
ATOMIC_SPECIES
Cu 63.55 Cu.upf
Dy 162.50 Dy.upf
Hg 200.59 Hg.upf
ATOMIC_POSITIONS angstrom
Cu 0.4027 6.1491 1.3231
Cu 2.9582 2.3487 3.2351
Dy -0.3963 2.2930 -1.3023
Dy 2.1433 4.0009 0.5575
Dy 1.6284 6.9796 -1.1343
Dy 2.7444 7.2409 2.5326
Dy 0.6165 1.2570 2.0257
Dy 1.7325 1.5182 5.6925
Dy 3.7572 6.2049 5.8605
Dy 1.2176 4.4970 4.0007
Hg 1.8063 0.0000 -0.5497
CELL_PARAMETERS angstrom
3.6127 0.0000 -1.0995
-1.3619 7.8792 -4.4750
1.1102 0.6186 10.1328
```

## Properties
* E: -4.172 eV/atom
* calculated volume: 309 Å³/cell
* calculated formation energy: -0.05 eV/atom
* ΔE to the lowest computed polymorph: 100.8 meV/atom

8.
The following is a DFT calculation (GGA-PBE) of an optimized crystal structure of K2NpTlS4. Values from VASP.

Structure (Quantum ESPRESSO input):
```
&SYSTEM
  ibrav = 0, nat = 8, ntyp = 4
/
ATOMIC_SPECIES
Np 237.00 Np.upf
S 32.06 S.upf
K 39.10 K.upf
Tl 204.38 Tl.upf
ATOMIC_POSITIONS angstrom
Np 5.8765 -2.0502 0.0345
S 5.6451 -2.6414 -2.6242
S 8.2580 -2.8936 0.0649
S 2.4016 -4.3819 -2.4268
S 5.0145 -4.6341 0.2623
K 5.0718 -4.5279 3.6329
K 1.9892 -3.8515 0.6010
Tl 7.8657 -5.9017 0.6355
CELL_PARAMETERS angstrom
-1.0934 -3.1752 -2.4308
6.6812 0.4276 -3.5640
5.0718 -4.5279 3.6329
```

## Properties
* E_form (uncorrected): -1.077 eV/atom
* E: -5.329 eV/atom
* calculated volume: 229 Å³/cell

9.
The following is a DFT calculation (GGA-PBE) of an optimized crystal structure of Ca2TbBr. Values from VASP.

Structure (Quantum ESPRESSO input):
```
&SYSTEM
  ibrav = 0, nat = 4, ntyp = 3
/
ATOMIC_SPECIES
Ca 40.08 Ca.upf
Tb 158.93 Tb.upf
Br 79.90 Br.upf
ATOMIC_POSITIONS angstrom
Ca -2.2302 0.8726 2.0619
Ca -6.9613 2.3775 7.4983
Tb -4.5958 1.6251 4.7801
Br 0.0000 0.0000 0.0000
CELL_PARAMETERS angstrom
-1.6228 3.4190 0.2917
-3.7104 0.4049 -0.6908
-3.8584 -0.5738 9.9593
```

## Properties
* E_form (uncorrected): -0.640 eV/atom
* E: -3.217 eV/atom
* calculated volume: 131 Å³/cell
* ΔE to the lowest computed polymorph: 0.0 meV/atom

10.
The following is a DFT calculation (GGA-PBE) of an optimized crystal structure of AsPbS3. Values from VASP.

Structure (Quantum ESPRESSO input):
```
&SYSTEM
  ibrav = 0, nat = 5, ntyp = 3
/
ATOMIC_SPECIES
As 74.92 As.upf
S 32.06 S.upf
Pb 207.20 Pb.upf
ATOMIC_POSITIONS angstrom
As 0.0000 0.0000 0.0000
S 2.4147 0.0000 0.0000
S 0.0000 2.4147 0.0000
S 0.0000 0.0000 2.4147
Pb 2.4147 2.4147 2.4147
CELL_PARAMETERS angstrom
4.8294 0.0000 0.0000
0.0000 4.8294 0.0000
0.0000 0.0000 4.8294
```

## Properties
* E_form (uncorrected): 0.067 eV/atom
* E: -4.081 eV/atom
* calculated volume: 113 Å³/cell

11.
The following is a DFT calculation (GGA-PBE) of an optimized crystal structure of Cs2RbGeTe4. Values from VASP.

Structure (Quantum ESPRESSO input):
```
&SYSTEM
  ibrav = 0, nat = 16, ntyp = 4
/
ATOMIC_SPECIES
Te 127.60 Te.upf
Cs 132.91 Cs.upf
Rb 85.47 Rb.upf
Ge 72.64 Ge.upf
ATOMIC_POSITIONS angstrom
Te -6.2591 -1.7476 6.7138
Te -5.0504 2.7155 3.8003
Te -8.0350 8.5299 5.0891
Te -5.2279 0.1229 2.0275
Te -12.9813 3.4071 7.9147
Te -14.1158 5.7680 9.6567
Te -7.4531 1.1561 6.9111
Te -8.1530 5.3946 4.8610
Cs -11.0942 7.2504 7.4092
Cs -5.0939 6.6741 2.5408
Cs -8.2910 3.0925 1.4056
Cs -9.4623 -1.5735 4.2464
Rb -10.2782 2.8385 5.8278
Rb 0.0000 0.0000 0.0000
Ge -6.5407 3.4982 5.9157
Ge -3.7375 -0.6597 -0.0879
CELL_PARAMETERS angstrom
-7.4751 -1.3194 -0.1758
-3.4340 -3.4299 7.7971
-5.9098 11.0860 4.1223
```

## Properties
* E_form (uncorrected): -0.578 eV/atom
* E: -3.061 eV/atom
* calculated volume: 804 Å³/cell

12.
The following is a DFT calculation (GGA-PBE) of an optimized crystal structure of Cs2PrTi2O6. Values from VASP.

Structure (Quantum ESPRESSO input):
```
&SYSTEM
  ibrav = 0, nat = 11, ntyp = 4
/
ATOMIC_SPECIES
Ti 47.87 Ti.upf
Cs 132.91 Cs.upf
Pr 140.91 Pr.upf
O 16.00 O.upf
ATOMIC_POSITIONS angstrom
Ti 0.1923 -1.3523 0.7176
Ti -1.2579 -3.0792 5.2579
Cs 0.6794 -4.8934 2.5966
Cs -1.7450 0.4619 3.3789
Pr 2.2195 -1.1510 4.2626
O 1.0970 -0.7816 2.1563
O 1.0749 0.7919 5.1275
O -2.1404 -5.2234 0.8480
O 0.4591 -2.6187 5.0268
O -1.5246 -1.8128 0.9487
O -2.1626 -3.6498 3.8192
CELL_PARAMETERS angstrom
-0.0423 3.0080 5.6797
-5.5046 -2.1295 -2.5497
4.4814 -5.3099 2.8455
```

## Properties
* E_form (uncorrected): -2.579 eV/atom
* E: -7.308 eV/atom
* calculated volume: 234 Å³/cell